one:
Compound: RbNi3Ag
Source: Alexandria
Functional: GGA-PBE
Structure: optimized geometry

a = 4.6449 Å, b = 4.6449 Å, c = 4.6449 Å
α = 90.00°, β = 90.00°, γ = 90.00°
Space group Pm-3m (No. 221)
Inequivalent atoms, fractional coordinates:
Rb: 0.0000 0.0000 0.0000 [1 per cell]
Ni: 0.0000 0.0000 0.5000 [3 per cell]
Ag: 0.5000 0.5000 0.5000 [1 per cell]

Output
N(E_F): 2.2 states/eV/f.u.
volume: 100.2 Å³/cell

=====

two:
Compound: RbNi3Ag
Source: Alexandria
Functional: GGA-PBE
Structure: optimized geometry

a = 4.8652 Å, b = 4.8652 Å, c = 4.8652 Å
α = 90.00°, β = 90.00°, γ = 90.00°
Space group Pm-3m (No. 221)
Inequivalent atoms, fractional coordinates:
Rb: 0.0000 0.0000 0.0000 [1 per cell]
Ni: 0.0000 0.5000 0.5000 [3 per cell]
Ag: 0.5000 0.5000 0.5000 [1 per cell]

Output
N(E_F): 9.6 states/eV/f.u.
volume: 115.2 Å³/cell

=====

Energies, relative to the best one, in eV/atom: one 0.939; two 0.000.

=====

one:
Compound: Re2NiAg
Source: Alexandria
Functional: GGA-PBE
Structure: optimized geometry

a = 9.1293 Å, b = 2.6297 Å, c = 4.9425 Å
α = 90.00°, β = 98.27°, γ = 90.00°
Space group Cm (No. 8)
Inequivalent atoms, fractional coordinates:
Re: 0.0000 0.0000 0.0000 [2 per cell]
Re: 0.2389 0.0000 0.7836 [2 per cell]
Ni: 0.2284 0.5000 0.2615 [2 per cell]
Ag: 0.4822 0.0000 0.4887 [2 per cell]

Output
N(E_F): 3.2 states/eV/f.u.
volume: 117.4 Å³/cell

=====

two:
Compound: Re2NiAg
Source: Alexandria
Functional: GGA-PBE
Structure: optimized geometry

a = 2.7253 Å, b = 2.7253 Å, c = 27.4199 Å
α = 90.00°, β = 90.00°, γ = 120.00°
Space group R-3m (No. 166, hexagonal axes)
Inequivalent atoms, fractional coordinates:
Re: 0.0000 0.0000 0.2422 [6 per cell]
Ni: 0.0000 0.0000 0.5000 [3 per cell]
Ag: 0.0000 0.0000 0.0000 [3 per cell]

Output
N(E_F): 4.7 states/eV/f.u.
volume: 176.4 Å³/cell

=====

Energies, relative to the best one, in eV/atom: one 0.021; two 0.000.

=====

one:
Compound: Re2NiAg
Source: Alexandria
Functional: GGA-PBE
Structure: optimized geometry

a = 3.7142 Å, b = 3.7142 Å, c = 8.4202 Å
α = 90.00°, β = 90.00°, γ = 90.00°
Space group I4/mmm (No. 139)
Inequivalent atoms, fractional coordinates:
Re: 0.0000 0.5000 0.2500 [4 per cell]
Ni: 0.0000 0.0000 0.0000 [2 per cell]
Ag: 0.0000 0.0000 0.5000 [2 per cell]

Output
N(E_F): 3.3 states/eV/f.u.
volume: 116.2 Å³/cell

=====

two:
Compound: Re2NiAg
Source: Alexandria
Functional: GGA-PBE
Structure: optimized geometry

a = 6.1790 Å, b = 6.1790 Å, c = 6.1790 Å
α = 90.00°, β = 90.00°, γ = 90.00°
Space group F-43m (No. 216)
Inequivalent atoms, fractional coordinates:
Re: 0.0000 0.0000 0.0000 [4 per cell]
Re: 0.2500 0.2500 0.2500 [4 per cell]
Ni: 0.0000 0.0000 0.5000 [4 per cell]
Ag: 0.2500 0.2500 0.7500 [4 per cell]

Output
N(E_F): 4.3 states/eV/f.u.
volume: 235.9 Å³/cell

=====

three:
Compound: Re2NiAg
Source: Alexandria
Functional: GGA-PBE
Structure: optimized geometry

a = 2.7022 Å, b = 4.4245 Å, c = 10.1114 Å
α = 90.00°, β = 90.00°, γ = 90.00°
Space group Immm (No. 71)
Inequivalent atoms, fractional coordinates:
Re: 0.0000 0.0000 0.2103 [4 per cell]
Ni: 0.0000 0.5000 0.5000 [2 per cell]
Ag: 0.0000 0.5000 0.0000 [2 per cell]

Output
N(E_F): 4.2 states/eV/f.u.
volume: 120.9 Å³/cell

=====

four:
Compound: Re2NiAg
Source: Alexandria
Functional: GGA-PBE
Structure: optimized geometry

a = 3.6627 Å, b = 3.6627 Å, c = 18.9559 Å
α = 90.00°, β = 90.00°, γ = 90.00°
Space group I-42d (No. 122)
Inequivalent atoms, fractional coordinates:
Re: 0.2238 0.2500 0.1250 [8 per cell]
Ni: 0.0000 0.0000 0.0000 [4 per cell]
Ag: 0.0000 0.0000 0.5000 [4 per cell]

Output
N(E_F): 3.8 states/eV/f.u.
volume: 254.3 Å³/cell

=====

Energies, relative to the best one, in eV/atom: one 0.105; two 0.158; three 0.000; four 0.467.

=====

one:
Compound: Re2NiAg
Source: Alexandria
Functional: GGA-PBE
Structure: optimized geometry

a = 5.2470 Å, b = 8.4144 Å, c = 2.6378 Å
α = 90.00°, β = 90.00°, γ = 90.00°
Space group Cmmm (No. 65)
Inequivalent atoms, fractional coordinates:
Re: 0.2500 0.2500 0.0000 [4 per cell]
Ni: 0.0000 0.0000 0.5000 [2 per cell]
Ag: 0.0000 0.5000 0.5000 [2 per cell]

Output
N(E_F): 3.5 states/eV/f.u.
volume: 116.5 Å³/cell

=====

two:
Compound: Re2NiAg
Source: Alexandria
Functional: GGA-PBE
Structure: optimized geometry

a = 3.1089 Å, b = 3.1089 Å, c = 6.1927 Å
α = 90.00°, β = 90.00°, γ = 90.00°
Space group P4/mmm (No. 123)
Inequivalent atoms, fractional coordinates:
Re: 0.0000 0.0000 0.1972 [2 per cell]
Ni: 0.5000 0.5000 0.0000 [1 per cell]
Ag: 0.5000 0.5000 0.5000 [1 per cell]

Output
N(E_F): 2.0 states/eV/f.u.
volume: 59.9 Å³/cell

=====

three:
Compound: Re2NiAg
Source: Alexandria
Functional: GGA-PBE
Structure: optimized geometry

a = 2.6350 Å, b = 2.6350 Å, c = 8.3528 Å
α = 90.00°, β = 90.00°, γ = 90.00°
Space group P4/mmm (No. 123)
Inequivalent atoms, fractional coordinates:
Re: 0.0000 0.0000 0.2248 [2 per cell]
Ni: 0.5000 0.5000 0.0000 [1 per cell]
Ag: 0.5000 0.5000 0.5000 [1 per cell]

Output
N(E_F): 1.7 states/eV/f.u.
volume: 58.0 Å³/cell

=====

Energies, relative to the best one, in eV/atom: one 0.138; two 0.177; three 0.000.

=====

one:
Compound: Re2NiAg
Source: Alexandria
Functional: GGA-PBE
Structure: optimized geometry

a = 3.7183 Å, b = 3.7183 Å, c = 4.2009 Å
α = 90.00°, β = 90.00°, γ = 90.00°
Space group P4/mmm (No. 123)
Inequivalent atoms, fractional coordinates:
Re: 0.0000 0.5000 0.0000 [2 per cell]
Ni: 0.0000 0.0000 0.5000 [1 per cell]
Ag: 0.5000 0.5000 0.5000 [1 per cell]

Output
N(E_F): 3.4 states/eV/f.u.
volume: 58.1 Å³/cell

=====

two:
Compound: Re2NiAg
Source: Alexandria
Functional: GGA-PBE
Structure: optimized geometry

a = 3.0027 Å, b = 4.4317 Å, c = 8.9776 Å
α = 90.00°, β = 90.00°, γ = 90.00°
Space group Cmm2 (No. 35)
Inequivalent atoms, fractional coordinates:
Re: 0.0000 0.0000 0.0000 [2 per cell]
Re: 0.0000 0.5000 0.2455 [2 per cell]
Ni: 0.0000 0.5000 0.7758 [2 per cell]
Ag: 0.0000 0.0000 0.5268 [2 per cell]

Output
N(E_F): 3.6 states/eV/f.u.
volume: 119.5 Å³/cell

=====

three:
Compound: Re2NiAg
Source: Alexandria
Functional: GGA-PBE
Structure: optimized geometry

a = 2.7196 Å, b = 3.8906 Å, c = 5.5766 Å
α = 90.00°, β = 90.00°, γ = 90.00°
Space group Pmm2 (No. 25)
Inequivalent atoms, fractional coordinates:
Re: 0.0000 0.0000 0.0000 [1 per cell]
Re: 0.5000 0.5000 0.2169 [1 per cell]
Ni: 0.5000 0.5000 0.7532 [1 per cell]
Ag: 0.0000 0.0000 0.5110 [1 per cell]

Output
N(E_F): 4.3 states/eV/f.u.
volume: 59.0 Å³/cell

=====

four:
Compound: Re2NiAg
Source: Alexandria
Functional: GGA-PBE
Structure: optimized geometry

a = 9.4648 Å, b = 2.7148 Å, c = 4.6594 Å
α = 90.00°, β = 102.34°, γ = 90.00°
Space group C2/m (No. 12)
Inequivalent atoms, fractional coordinates:
Re: 0.2359 0.0000 0.2371 [4 per cell]
Ni: 0.0000 0.5000 0.0000 [2 per cell]
Ag: 0.0000 0.0000 0.5000 [2 per cell]

Output
N(E_F): 3.5 states/eV/f.u.
volume: 117.0 Å³/cell

=====

Energies, relative to the best one, in eV/atom: one 0.175; two 0.000; three 0.018; four 0.058.

=====

one:
Compound: NiAgRh
Source: Alexandria
Functional: GGA-PBE
Structure: optimized geometry

a = 2.8028 Å, b = 4.6010 Å, c = 13.6721 Å
α = 90.00°, β = 90.00°, γ = 90.00°
Space group Fmm2 (No. 42)
Inequivalent atoms, fractional coordinates:
Ni: 0.0000 0.0000 0.0000 [4 per cell]
Ag: 0.0000 0.0000 0.3327 [4 per cell]
Rh: 0.0000 0.0000 0.6511 [4 per cell]

Output
N(E_F): 4.7 states/eV/f.u.
volume: 176.3 Å³/cell

=====

two:
Compound: NiAgRh
Source: Alexandria
Functional: GGA-PBE
Structure: optimized geometry

a = 2.7404 Å, b = 2.7404 Å, c = 6.6855 Å
α = 90.00°, β = 90.00°, γ = 120.00°
Space group P3m1 (No. 156)
Inequivalent atoms, fractional coordinates:
Ni: 0.0000 0.0000 0.0000 [1 per cell]
Ag: 0.3333 0.6667 0.6639 [1 per cell]
Rh: 0.6667 0.3333 0.2991 [1 per cell]

Output
N(E_F): 4.0 states/eV/f.u.
volume: 43.5 Å³/cell

=====

three:
Compound: NiAgRh
Source: Alexandria
Functional: GGA-PBE
Structure: optimized geometry

a = 4.3394 Å, b = 4.3394 Å, c = 2.7102 Å
α = 90.00°, β = 90.00°, γ = 120.00°
Space group P-6m2 (No. 187)
Inequivalent atoms, fractional coordinates:
Ni: 0.0000 0.0000 0.0000 [1 per cell]
Ag: 0.6667 0.3333 0.5000 [1 per cell]
Rh: 0.3333 0.6667 0.0000 [1 per cell]

Output
N(E_F): 4.6 states/eV/f.u.
volume: 44.2 Å³/cell

=====

four:
Compound: NiAgRh
Source: Alexandria
Functional: GGA-PBE
Structure: optimized geometry

a = 5.8249 Å, b = 5.8249 Å, c = 5.8249 Å
α = 90.00°, β = 90.00°, γ = 90.00°
Space group F-43m (No. 216)
Inequivalent atoms, fractional coordinates:
Ni: 0.0000 0.0000 0.0000 [4 per cell]
Ag: 0.2500 0.2500 0.7500 [4 per cell]
Rh: 0.2500 0.2500 0.2500 [4 per cell]

Output
N(E_F): 2.6 states/eV/f.u.
volume: 197.6 Å³/cell

=====

Energies, relative to the best one, in eV/atom: one 0.096; two 0.000; three 0.136; four 0.331.

=====

one:
Compound: Ni2AgRh2
Source: Alexandria
Functional: GGA-PBE
Structure: optimized geometry

a = 7.3092 Å, b = 7.3092 Å, c = 2.6834 Å
α = 90.00°, β = 90.00°, γ = 90.00°
Space group P4/mbm (No. 127)
Inequivalent atoms, fractional coordinates:
Ni: 0.1691 0.3309 0.0000 [4 per cell]
Ag: 0.0000 0.0000 0.5000 [2 per cell]
Rh: 0.1277 0.6277 0.5000 [4 per cell]

Output
N(E_F): 8.3 states/eV/f.u.
volume: 143.4 Å³/cell

=====

two:
Compound: Ni2AgRh2
Source: Alexandria
Functional: GGA-PBE
Structure: optimized geometry

a = 7.2175 Å, b = 7.2175 Å, c = 2.7090 Å
α = 90.00°, β = 90.00°, γ = 90.00°
Space group P4/mbm (No. 127)
Inequivalent atoms, fractional coordinates:
Ni: 0.1195 0.3805 0.0000 [4 per cell]
Ag: 0.0000 0.0000 0.0000 [2 per cell]
Rh: 0.1742 0.6742 0.5000 [4 per cell]

Output
N(E_F): 7.5 states/eV/f.u.
volume: 141.1 Å³/cell

=====

Energies, relative to the best one, in eV/atom: one 0.032; two 0.000.

=====

one:
Compound: NiAgRu2
Source: Alexandria
Functional: GGA-PBE
Structure: optimized geometry

a = 2.6620 Å, b = 4.3209 Å, c = 5.1613 Å
α = 90.00°, β = 104.75°, γ = 90.00°
Space group P2/m (No. 10)
Inequivalent atoms, fractional coordinates:
Ni: 0.0000 0.0000 0.0000 [1 per cell]
Ag: 0.5000 0.0000 0.5000 [1 per cell]
Ru: 0.1556 0.5000 0.7741 [2 per cell]

Output
N(E_F): 5.2 states/eV/f.u.
volume: 57.4 Å³/cell

=====

two:
Compound: NiAgRu2
Source: Alexandria
Functional: GGA-PBE
Structure: optimized geometry

a = 2.7042 Å, b = 2.7042 Å, c = 26.9742 Å
α = 90.00°, β = 90.00°, γ = 120.00°
Space group R-3m (No. 166, hexagonal axes)
Inequivalent atoms, fractional coordinates:
Ni: 0.0000 0.0000 0.0000 [3 per cell]
Ag: 0.0000 0.0000 0.5000 [3 per cell]
Ru: 0.0000 0.0000 0.2580 [6 per cell]

Output
N(E_F): 5.4 states/eV/f.u.
volume: 170.8 Å³/cell

=====

three:
Compound: NiAgRu2
Source: Alexandria
Functional: GGA-PBE
Structure: optimized geometry

a = 2.7423 Å, b = 3.7295 Å, c = 5.5759 Å
α = 90.00°, β = 90.00°, γ = 90.00°
Space group Pmm2 (No. 25)
Inequivalent atoms, fractional coordinates:
Ni: 0.0000 0.0000 0.0000 [1 per cell]
Ag: 0.5000 0.5000 0.7504 [1 per cell]
Ru: 0.0000 0.0000 0.4541 [1 per cell]
Ru: 0.5000 0.5000 0.2448 [1 per cell]

Output
N(E_F): 4.8 states/eV/f.u.
volume: 57.0 Å³/cell

=====

Energies, relative to the best one, in eV/atom: one 0.203; two 0.062; three 0.000.

=====

one:
Compound: NiAgRu2
Source: Alexandria
Functional: GGA-PBE
Structure: optimized geometry

a = 2.6547 Å, b = 3.8753 Å, c = 5.5817 Å
α = 90.00°, β = 90.00°, γ = 90.00°
Space group Pmmm (No. 47)
Inequivalent atoms, fractional coordinates:
Ni: 0.0000 0.0000 0.0000 [1 per cell]
Ag: 0.0000 0.0000 0.5000 [1 per cell]
Ru: 0.5000 0.5000 0.2158 [2 per cell]

Output
N(E_F): 5.8 states/eV/f.u.
volume: 57.4 Å³/cell

=====

two:
Compound: NiAgRu2
Source: Alexandria
Functional: GGA-PBE
Structure: optimized geometry

a = 6.1307 Å, b = 6.1307 Å, c = 6.1307 Å
α = 90.00°, β = 90.00°, γ = 90.00°
Space group F-43m (No. 216)
Inequivalent atoms, fractional coordinates:
Ni: 0.0000 0.0000 0.0000 [4 per cell]
Ag: 0.2500 0.2500 0.2500 [4 per cell]
Ru: 0.0000 0.0000 0.5000 [4 per cell]
Ru: 0.2500 0.2500 0.7500 [4 per cell]

Output
N(E_F): 6.1 states/eV/f.u.
volume: 230.4 Å³/cell

=====

Energies, relative to the best one, in eV/atom: one 0.000; two 0.110.

=====

one:
Compound: Ni2AgRu
Source: Alexandria
Functional: GGA-PBE
Structure: optimized geometry

a = 2.6879 Å, b = 2.6879 Å, c = 7.4373 Å
α = 90.00°, β = 90.00°, γ = 90.00°
Space group P4/mmm (No. 123)
Inequivalent atoms, fractional coordinates:
Ni: 0.0000 0.0000 0.2293 [2 per cell]
Ag: 0.5000 0.5000 0.5000 [1 per cell]
Ru: 0.5000 0.5000 0.0000 [1 per cell]

Output
N(E_F): 5.8 states/eV/f.u.
volume: 53.7 Å³/cell

=====

two:
Compound: Ni2AgRu
Source: Alexandria
Functional: GGA-PBE
Structure: optimized geometry

a = 2.6892 Å, b = 3.5544 Å, c = 5.6491 Å
α = 90.00°, β = 90.08°, γ = 90.00°
Space group P2/m (No. 10)
Inequivalent atoms, fractional coordinates:
Ni: 0.0007 0.0000 0.2182 [2 per cell]
Ag: 0.5000 0.5000 0.5000 [1 per cell]
Ru: 0.5000 0.5000 0.0000 [1 per cell]

Output
N(E_F): 5.5 states/eV/f.u.
volume: 54.0 Å³/cell

=====

three:
Compound: Ni2AgRu
Source: Alexandria
Functional: GGA-PBE
Structure: optimized geometry

a = 6.0474 Å, b = 6.0474 Å, c = 6.0474 Å
α = 90.00°, β = 90.00°, γ = 90.00°
Space group F-43m (No. 216)
Inequivalent atoms, fractional coordinates:
Ni: 0.0000 0.0000 0.0000 [4 per cell]
Ni: 0.2500 0.2500 0.2500 [4 per cell]
Ag: 0.0000 0.0000 0.5000 [4 per cell]
Ru: 0.2500 0.2500 0.7500 [4 per cell]

Output
N(E_F): 6.1 states/eV/f.u.
volume: 221.2 Å³/cell

=====

four:
Compound: Ni2AgRu
Source: Alexandria
Functional: GGA-PBE
Structure: optimized geometry

a = 3.9297 Å, b = 3.9297 Å, c = 7.0345 Å
α = 90.00°, β = 90.00°, γ = 90.00°
Space group I4/mmm (No. 139)
Inequivalent atoms, fractional coordinates:
Ni: 0.0000 0.5000 0.2500 [4 per cell]
Ag: 0.0000 0.0000 0.0000 [2 per cell]
Ru: 0.0000 0.0000 0.5000 [2 per cell]

Output
N(E_F): 3.3 states/eV/f.u.
volume: 108.6 Å³/cell

=====

Energies, relative to the best one, in eV/atom: one 0.000; two 0.060; three 0.337; four 0.170.